Crystalline Ac2SmHo at its relaxed geometry. Source: the Alexandria database, functional PBE-GGA.

## Properties
The calculation puts the energy of formation from the pure elements at 0.040 eV per atom. As for the space group: P4/mmm (123). The value obtained for the raw total energy is -4.34 eV/atom.

Cell: 5.1569 5.4375 5.4375 Å, 90.00 90.00 90.00°
Atoms (fractional coordinates):
Ac 0.0000 0.0000 0.5000
Ac 0.0000 0.5000 0.0000
Ho 0.5000 0.5000 0.5000
Sm 0.5000 0.0000 0.0000